Density functional theory data (GGA-PBE) for Ba2CoGeBi after structural relaxation.

Values from the calculation:
**Total magnetic moment**: 0.23 μB per atom
**DFT formation energy**: -0.756 eV/f.u.

a b c (Å): 6.393 6.393 4.442
angles (deg): 90.00 90.00 90.00
Sites, in units of the cell vectors:
1 Ba 0.000 0.500 0.000
2 Ba 0.500 0.000 0.000
3 Co 0.000 0.000 0.500
4 Ge 0.000 0.000 0.000
5 Bi 0.500 0.500 0.500


Density functional theory data (GGA-PBE) for BaCoHg2Bi after structural relaxation.

Values from the calculation:
**Total magnetic moment**: 0.17 μB per atom
**DFT formation energy**: -0.979 eV/f.u.

a b c (Å): 5.188 5.188 5.172
angles (deg): 90.00 90.00 90.00
Sites, in units of the cell vectors:
1 Ba 0.000 0.000 0.000
2 Co 0.500 0.500 0.500
3 Hg 0.000 0.500 0.500
4 Hg 0.500 0.000 0.500
5 Bi 0.500 0.500 0.000


Density per entry: 5627; 9619 kg/m³